Entry w
# Pr8SmHo2 PBE-GGA optimized geometry
data_Pr8SmHo2
_space_group_name_H-M_alt 'P 1'
_space_group_IT_number 1
_cell_length_a 9.557
_cell_length_b 9.557
_cell_length_c 6.069
_cell_angle_alpha 105.57
_cell_angle_beta 105.57
_cell_angle_gamma 122.14
loop_
_space_group_symop_operation_xyz
'x,y,z'
loop_
_atom_site_label
_atom_site_fract_x
_atom_site_fract_y
_atom_site_fract_z
_atom_site_occupancy
Pr1 0.098 0.336 0.680 1
Pr2 0.205 0.795 0.000 1
Pr3 0.336 0.098 0.680 1
Pr4 0.422 0.422 0.204 1
Pr5 0.578 0.578 0.796 1
Pr6 0.664 0.902 0.320 1
Pr7 0.795 0.205 0.000 1
Pr8 0.902 0.664 0.320 1
Sm1 0.000 0.000 0.000 1
Ho1 0.310 0.690 0.500 1
Ho2 0.690 0.310 0.500 1
# - total magnetization (Bohr magnetons per cell) = 0.0

=====

Entry x
# Pr8SmHo2 PBE-GGA optimized geometry
data_Pr8SmHo2
_space_group_name_H-M_alt 'P 1'
_space_group_IT_number 1
_cell_length_a 9.571
_cell_length_b 9.571
_cell_length_c 9.571
_cell_angle_alpha 145.00
_cell_angle_beta 128.12
_cell_angle_gamma 64.13
loop_
_space_group_symop_operation_xyz
'x,y,z'
loop_
_atom_site_label
_atom_site_fract_x
_atom_site_fract_y
_atom_site_fract_z
_atom_site_occupancy
Pr1 0.159 0.363 0.796 1
Pr2 0.163 0.163 0.000 1
Pr3 0.294 0.000 0.294 1
Pr4 0.433 0.637 0.796 1
Pr5 0.567 0.363 0.204 1
Pr6 0.706 0.000 0.706 1
Pr7 0.837 0.837 0.000 1
Pr8 0.841 0.637 0.204 1
Sm1 0.000 0.500 0.500 1
Ho1 0.300 0.800 0.500 1
Ho2 0.700 0.200 0.500 1
# - total magnetization (Bohr magnetons per cell) = 0.0

=====

Least stable structure: entry w

=====

Entry w
# PrSm3Ho6 PBE-GGA optimized geometry
data_PrSm3Ho6
_space_group_name_H-M_alt 'P 1'
_space_group_IT_number 1
_cell_length_a 6.906
_cell_length_b 6.906
_cell_length_c 6.906
_cell_angle_alpha 91.57
_cell_angle_beta 91.57
_cell_angle_gamma 91.57
loop_
_space_group_symop_operation_xyz
'x,y,z'
loop_
_atom_site_label
_atom_site_fract_x
_atom_site_fract_y
_atom_site_fract_z
_atom_site_occupancy
Pr1 0.000 0.000 0.000 1
Sm1 0.252 0.252 0.252 1
Sm2 0.500 0.500 0.500 1
Sm3 0.747 0.747 0.747 1
Ho1 0.001 0.329 0.672 1
Ho2 0.174 0.827 0.501 1
Ho3 0.329 0.672 0.001 1
Ho4 0.501 0.174 0.827 1
Ho5 0.672 0.001 0.329 1
Ho6 0.827 0.501 0.174 1
# - total magnetization (Bohr magnetons per cell) = 0.0

=====

Entry x
# PrSm3Ho6 PBE-GGA optimized geometry
data_PrSm3Ho6
_space_group_name_H-M_alt 'P 1'
_space_group_IT_number 1
_cell_length_a 11.000
_cell_length_b 11.000
_cell_length_c 6.238
_cell_angle_alpha 90.00
_cell_angle_beta 90.00
_cell_angle_gamma 119.47
loop_
_space_group_symop_operation_xyz
'x,y,z'
loop_
_atom_site_label
_atom_site_fract_x
_atom_site_fract_y
_atom_site_fract_z
_atom_site_occupancy
Pr1 0.204 0.796 0.500 1
Pr2 0.796 0.204 0.000 1
Sm1 0.064 0.284 0.319 1
Sm2 0.284 0.064 0.819 1
Sm3 0.391 0.609 0.425 1
Sm4 0.609 0.391 0.925 1
Sm5 0.716 0.936 0.319 1
Sm6 0.936 0.716 0.819 1
Ho1 0.040 0.462 0.726 1
Ho2 0.045 0.955 0.263 1
Ho3 0.282 0.718 0.997 1
Ho4 0.287 0.382 0.891 1
Ho5 0.382 0.287 0.391 1
Ho6 0.462 0.040 0.226 1
Ho7 0.538 0.960 0.726 1
Ho8 0.618 0.713 0.891 1
Ho9 0.713 0.618 0.391 1
Ho10 0.718 0.282 0.497 1
Ho11 0.955 0.045 0.763 1
Ho12 0.960 0.538 0.226 1
# - total magnetization (Bohr magnetons per cell) = 0.0

=====

Least stable structure: entry w

=====

Entry w
# Pr5SmHo6 PBE-GGA optimized geometry
data_Pr5SmHo6
_space_group_name_H-M_alt 'P 1'
_space_group_IT_number 1
_cell_length_a 9.553
_cell_length_b 9.553
_cell_length_c 9.553
_cell_angle_alpha 148.76
_cell_angle_beta 116.22
_cell_angle_gamma 72.74
loop_
_space_group_symop_operation_xyz
'x,y,z'
loop_
_atom_site_label
_atom_site_fract_x
_atom_site_fract_y
_atom_site_fract_z
_atom_site_occupancy
Pr1 0.000 0.000 0.000 1
Pr2 0.167 0.667 0.500 1
Pr3 0.334 0.334 0.000 1
Pr4 0.666 0.666 0.000 1
Pr5 0.833 0.333 0.500 1
Sm1 0.500 0.000 0.500 1
Ho1 0.084 0.834 0.251 1
Ho2 0.251 0.500 0.751 1
Ho3 0.417 0.166 0.251 1
Ho4 0.583 0.834 0.749 1
Ho5 0.749 0.500 0.249 1
Ho6 0.916 0.166 0.749 1
# - total magnetization (Bohr magnetons per cell) = 0.0

=====

Entry x
# Pr5SmHo6 PBE-GGA optimized geometry
data_Pr5SmHo6
_space_group_name_H-M_alt 'P 1'
_space_group_IT_number 1
_cell_length_a 6.276
_cell_length_b 6.276
_cell_length_c 11.842
_cell_angle_alpha 95.06
_cell_angle_beta 95.06
_cell_angle_gamma 119.99
loop_
_space_group_symop_operation_xyz
'x,y,z'
loop_
_atom_site_label
_atom_site_fract_x
_atom_site_fract_y
_atom_site_fract_z
_atom_site_occupancy
Pr1 0.000 0.000 0.000 1
Pr2 0.167 0.833 0.500 1
Pr3 0.333 0.667 0.000 1
Pr4 0.667 0.333 0.000 1
Pr5 0.833 0.167 0.500 1
Sm1 0.500 0.500 0.500 1
Ho1 0.084 0.417 0.251 1
Ho2 0.250 0.250 0.749 1
Ho3 0.417 0.084 0.251 1
Ho4 0.583 0.916 0.749 1
Ho5 0.750 0.750 0.251 1
Ho6 0.916 0.583 0.749 1
# - total magnetization (Bohr magnetons per cell) = 0.0

=====

Least stable structure: entry w

=====

Entry w
# PrSm7Ho12 PBE-GGA optimized geometry
data_PrSm7Ho12
_space_group_name_H-M_alt 'P 1'
_space_group_IT_number 1
_cell_length_a 8.721
_cell_length_b 8.721
_cell_length_c 8.721
_cell_angle_alpha 95.13
_cell_angle_beta 95.13
_cell_angle_gamma 95.13
loop_
_space_group_symop_operation_xyz
'x,y,z'
loop_
_atom_site_label
_atom_site_fract_x
_atom_site_fract_y
_atom_site_fract_z
_atom_site_occupancy
Pr1 0.000 0.000 0.000 1
Sm1 0.018 0.084 0.355 1
Sm2 0.084 0.355 0.018 1
Sm3 0.355 0.018 0.084 1
Sm4 0.500 0.500 0.500 1
Sm5 0.645 0.982 0.916 1
Sm6 0.916 0.645 0.982 1
Sm7 0.982 0.916 0.645 1
Ho1 0.147 0.415 0.480 1
Ho2 0.188 0.748 0.319 1
Ho3 0.252 0.681 0.812 1
Ho4 0.319 0.188 0.748 1
Ho5 0.415 0.480 0.147 1
Ho6 0.480 0.147 0.415 1
Ho7 0.520 0.853 0.585 1
Ho8 0.585 0.520 0.853 1
Ho9 0.681 0.812 0.252 1
Ho10 0.748 0.319 0.188 1
Ho11 0.812 0.252 0.681 1
Ho12 0.853 0.585 0.520 1
# - total magnetization (Bohr magnetons per cell) = 0.0

=====

Entry x
# PrSm7Ho12 PBE-GGA optimized geometry
data_PrSm7Ho12
_space_group_name_H-M_alt 'P 1'
_space_group_IT_number 1
_cell_length_a 9.759
_cell_length_b 9.759
_cell_length_c 9.759
_cell_angle_alpha 109.47
_cell_angle_beta 109.47
_cell_angle_gamma 109.47
loop_
_space_group_symop_operation_xyz
'x,y,z'
loop_
_atom_site_label
_atom_site_fract_x
_atom_site_fract_y
_atom_site_fract_z
_atom_site_occupancy
Pr1 0.000 0.000 0.000 1
Sm1 0.000 0.000 0.500 1
Sm2 0.000 0.500 0.000 1
Sm3 0.000 0.500 0.500 1
Sm4 0.500 0.000 0.000 1
Sm5 0.500 0.000 0.500 1
Sm6 0.500 0.500 0.000 1
Sm7 0.500 0.500 0.500 1
Ho1 0.000 0.252 0.748 1
Ho2 0.000 0.748 0.252 1
Ho3 0.252 0.000 0.748 1
Ho4 0.252 0.252 0.503 1
Ho5 0.252 0.503 0.252 1
Ho6 0.252 0.748 0.000 1
Ho7 0.497 0.748 0.748 1
Ho8 0.503 0.252 0.252 1
Ho9 0.748 0.000 0.252 1
Ho10 0.748 0.252 0.000 1
Ho11 0.748 0.497 0.748 1
Ho12 0.748 0.748 0.497 1
# - total magnetization (Bohr magnetons per cell) = 0.0

=====

Least stable structure: entry x

=====

Entry w
# Pr2Sm12Ho5 PBE-GGA optimized geometry
data_Pr2Sm12Ho5
_space_group_name_H-M_alt 'P 1'
_space_group_IT_number 1
_cell_length_a 8.735
_cell_length_b 8.735
_cell_length_c 9.397
_cell_angle_alpha 109.17
_cell_angle_beta 109.17
_cell_angle_gamma 83.90
loop_
_space_group_symop_operation_xyz
'x,y,z'
loop_
_atom_site_label
_atom_site_fract_x
_atom_site_fract_y
_atom_site_fract_z
_atom_site_occupancy
Pr1 0.226 0.774 0.000 1
Pr2 0.774 0.226 0.000 1
Sm1 0.058 0.550 0.198 1
Sm2 0.078 0.078 0.781 1
Sm3 0.113 0.671 0.583 1
Sm4 0.329 0.887 0.417 1
Sm5 0.382 0.382 0.059 1
Sm6 0.450 0.942 0.802 1
Sm7 0.550 0.058 0.198 1
Sm8 0.618 0.618 0.941 1
Sm9 0.671 0.113 0.583 1
Sm10 0.887 0.329 0.417 1
Sm11 0.922 0.922 0.219 1
Sm12 0.942 0.450 0.802 1
Ho1 0.190 0.190 0.234 1
Ho2 0.303 0.303 0.661 1
Ho3 0.500 0.500 0.500 1
Ho4 0.697 0.697 0.339 1
Ho5 0.810 0.810 0.766 1
# - total magnetization (Bohr magnetons per cell) = 0.0

=====

Entry x
# Pr2Sm12Ho5 PBE-GGA optimized geometry
data_Pr2Sm12Ho5
_space_group_name_H-M_alt 'P 1'
_space_group_IT_number 1
_cell_length_a 9.217
_cell_length_b 9.217
_cell_length_c 8.695
_cell_angle_alpha 90.91
_cell_angle_beta 90.91
_cell_angle_gamma 60.77
loop_
_space_group_symop_operation_xyz
'x,y,z'
loop_
_atom_site_label
_atom_site_fract_x
_atom_site_fract_y
_atom_site_fract_z
_atom_site_occupancy
Pr1 0.178 0.822 0.000 1
Pr2 0.822 0.178 0.000 1
Sm1 0.063 0.063 0.337 1
Sm2 0.067 0.681 0.339 1
Sm3 0.165 0.526 0.760 1
Sm4 0.319 0.933 0.661 1
Sm5 0.410 0.410 0.118 1
Sm6 0.474 0.835 0.240 1
Sm7 0.526 0.165 0.760 1
Sm8 0.590 0.590 0.882 1
Sm9 0.681 0.067 0.339 1
Sm10 0.835 0.474 0.240 1
Sm11 0.933 0.319 0.661 1
Sm12 0.937 0.937 0.663 1
Ho1 0.200 0.200 0.018 1
Ho2 0.270 0.270 0.428 1
Ho3 0.500 0.500 0.500 1
Ho4 0.730 0.730 0.572 1
Ho5 0.800 0.800 0.982 1
# - total magnetization (Bohr magnetons per cell) = 0.0

=====

Least stable structure: entry x

=====

Entry w
# Pr2SmHo PBE-GGA optimized geometry
data_Pr2SmHo
_space_group_name_H-M_alt 'P 1'
_space_group_IT_number 1
_cell_length_a 5.170
_cell_length_b 5.170
_cell_length_c 5.117
_cell_angle_alpha 90.00
_cell_angle_beta 90.00
_cell_angle_gamma 90.00
loop_
_space_group_symop_operation_xyz
'x,y,z'
loop_
_atom_site_label
_atom_site_fract_x
_atom_site_fract_y
_atom_site_fract_z
_atom_site_occupancy
Pr1 0.000 0.500 0.000 1
Pr2 0.500 0.000 0.000 1
Sm1 0.000 0.000 0.500 1
Ho1 0.500 0.500 0.500 1
# - total magnetization (Bohr magnetons per cell) = 0.0

=====

Entry x
# Pr2SmHo PBE-GGA optimized geometry
data_Pr2SmHo
_space_group_name_H-M_alt 'P 1'
_space_group_IT_number 1
_cell_length_a 5.792
_cell_length_b 5.792
_cell_length_c 5.792
_cell_angle_alpha 60.00
_cell_angle_beta 60.00
_cell_angle_gamma 60.00
loop_
_space_group_symop_operation_xyz
'x,y,z'
loop_
_atom_site_label
_atom_site_fract_x
_atom_site_fract_y
_atom_site_fract_z
_atom_site_occupancy
Pr1 0.250 0.250 0.250 1
Pr2 0.750 0.750 0.750 1
Sm1 0.000 0.000 0.000 1
Ho1 0.500 0.500 0.500 1
# - total magnetization (Bohr magnetons per cell) = 0.0

=====

Entry y
# Pr2SmHo PBE-GGA optimized geometry
data_Pr2SmHo
_space_group_name_H-M_alt 'P 1'
_space_group_IT_number 1
_cell_length_a 5.692
_cell_length_b 6.964
_cell_length_c 6.964
_cell_angle_alpha 29.86
_cell_angle_beta 90.00
_cell_angle_gamma 90.00
loop_
_space_group_symop_operation_xyz
'x,y,z'
loop_
_atom_site_label
_atom_site_fract_x
_atom_site_fract_y
_atom_site_fract_z
_atom_site_occupancy
Pr1 0.000 0.000 0.000 1
Pr2 0.500 0.126 0.126 1
Sm1 0.500 0.380 0.380 1
Ho1 0.000 0.742 0.742 1
# - total magnetization (Bohr magnetons per cell) = 0.0

=====

Entry z
# Pr2SmHo PBE-GGA optimized geometry
data_Pr2SmHo
_space_group_name_H-M_alt 'P 1'
_space_group_IT_number 1
_cell_length_a 4.254
_cell_length_b 4.254
_cell_length_c 7.591
_cell_angle_alpha 90.00
_cell_angle_beta 90.00
_cell_angle_gamma 90.00
loop_
_space_group_symop_operation_xyz
'x,y,z'
loop_
_atom_site_label
_atom_site_fract_x
_atom_site_fract_y
_atom_site_fract_z
_atom_site_occupancy
Pr1 0.000 0.000 0.242 1
Pr2 0.000 0.000 0.758 1
Sm1 0.500 0.500 0.500 1
Ho1 0.500 0.500 0.000 1
# - total magnetization (Bohr magnetons per cell) = 0.0

=====

Least stable structure: entry x